# HfMn2HgO, relaxed, DFT PBE+U
data_HfMn2HgO
_chemical_formula_sum 'Hf1 Mn2 Hg1 O1'
_cell_length_a 5.366
_cell_length_b 5.366
_cell_length_c 4.078
_cell_angle_alpha 90.00
_cell_angle_beta 90.00
_cell_angle_gamma 90.00
_symmetry_space_group_name_H-M 'P 1'
_symmetry_Int_Tables_number 1
_symmetry_space_group_name_Hall 'P 1'
loop_
_atom_site_label
_atom_site_type_symbol
_atom_site_fract_x
_atom_site_fract_y
_atom_site_fract_z
Hf1 Hf 0.000 0.000 0.000
Mn1 Mn 0.000 0.500 0.500
Mn2 Mn 0.500 0.000 0.500
Hg1 Hg 0.500 0.500 0.500
O1 O 0.500 0.500 0.000
# Density (Mg/m³): 7.1
# Symmetry: P4/mmm
# Calculated total energy (eV per atom): -4.98